Below is CaZnH2 after structural relaxation, with properties calculated at the GGA-PBE level.

Output
The electronic total energy comes out at -10.3 eV/cell. Its space group is No. 225. For the total moment, the calculation gives 0.000 μB/f.u. The value obtained for the relative energy among the computed polymorphs is 0.000 eV per formula unit.

a b c (Å): 4.1641 4.1641 4.1641
angles (deg): 60.00 60.00 60.00
Last column: nearest neighbours and their distance in Å.
Atoms (fractional coordinates):
Ca 0.0000 0.0000 0.0000  8 H 2.55
H 0.2500 0.2500 0.2500  4 Zn 2.55, 4 Ca 2.55
H 0.7500 0.7500 0.7500  4 Zn 2.55, 4 Ca 2.55
Zn 0.5000 0.5000 0.5000  8 H 2.55